[1]
DFT (PBE-GGA) results for a relaxed ErPu2F8 crystal.

Calculated values
- SG: No. 12
- ΔE_f (raw): -84.441 kcal/mol of atoms
- Crystal system: monoclinic

Cell and atoms, written as POSCAR:
```
ErPu2F8
1.0
4.013 0.000 0.000
-2.006 6.311 -1.262
0.000 -0.019 7.441
F Pu Er
8 2 1
direct
0.690 0.379 0.073
0.196 0.392 0.557
0.310 0.621 0.927
0.927 0.855 0.868
0.804 0.608 0.443
0.443 0.886 0.253
0.557 0.114 0.747
0.073 0.145 0.132
0.263 0.526 0.266
0.737 0.474 0.734
0.500 0.000 0.000
```

=====

[2]
DFT (PBE-GGA) results for a relaxed SrY2Cd crystal.

Calculated values
- Formation energy from the elements: 89 meV per atom
- SG: No. 12
- Crystal system: monoclinic

Cell and atoms, written as POSCAR:
```
SrY2Cd
1.0
6.105 0.000 -0.001
-2.933 6.346 0.001
0.238 0.978 3.384
Cd Y Sr
1 2 1
direct
0.000 0.500 0.500
0.000 0.000 0.000
0.500 0.000 0.500
0.500 0.500 0.000
```

=====

Number 1: D(E_F) 1.685 states/eV/atom. Number 2: D(E_F) 1.296 states/eV/atom.